First-principles (PBE) data for a relaxed structure of TmSnIr2, as listed in Alexandria via LeMat-Bulk.

Output
DOS(E_F): 0.6104 states/eV per atom
ΔH_f (0 K): -502 meV per atom
Mass density: 15.14 g/cm3
Spin magnetization: 0.00 μB per cell

Structure (CIF):
```
data_TmSnIr2
_chemical_formula_sum 'Tm1 Sn1 Ir2'
_space_group_name_H-M_alt 'P 4/m m m'
_space_group_IT_number 123
_space_group_name_Hall '-P 4 2'
_cell_length_a 3.441
_cell_length_b 3.441
_cell_length_c 6.224
_cell_angle_alpha 90.00
_cell_angle_beta 90.00
_cell_angle_gamma 90.00
loop_
_atom_site_label
_atom_site_type_symbol
_atom_site_fract_x
_atom_site_fract_y
_atom_site_fract_z
Tm1 Tm 0.000 0.000 0.000
Sn1 Sn 0.000 0.000 0.500
Ir1 Ir 0.500 0.500 0.264
```